[1]
# Ho8CS3N3 GGA-PBE optimized geometry
# Size of the total moment: 0.00 μB per formula unit
# E_form (uncorrected): -1.5852 eV per atom
# ρ: 8.79 g/cm³
# Fermi-level density of states: 0.266 states/eV per atom
data_Ho8CS3N3
_chemical_formula_sum 'Ho24 C3 S9 N9'
_cell_length_a 7.2043
_cell_length_b 7.2043
_cell_length_c 18.5352
_cell_angle_alpha 90.00
_cell_angle_beta 90.00
_cell_angle_gamma 120.00
_space_group_name_H-M_alt 'R -3 m'
_space_group_IT_number 166
_space_group_name_Hall '-R 3 2"'
loop_
_atom_site_label
_atom_site_type_symbol
_atom_site_fract_x
_atom_site_fract_y
_atom_site_fract_z
Ho1 Ho 0.0000 0.0000 0.2362
Ho2 Ho 0.0025 0.5012 0.7621
C1 C 0.0000 0.0000 0.5000
S1 S 0.0000 0.5000 0.0000
N1 N 0.0000 0.5000 0.5000

***

[2]
# Cs2Zn5Au3 GGA-PBE optimized geometry
# Size of the total moment: 0.00 μB per formula unit
# ρ: 6.13 g/cm³
# Fermi-level density of states: 0.367 states/eV per atom
# Calculated formation energy: -0.202 eV/atom
data_Cs2Zn5Au3
_chemical_formula_sum 'Cs8 Zn20 Au12'
_cell_length_a 13.9212
_cell_length_b 13.3660
_cell_length_c 9.0743
_cell_angle_alpha 90.00
_cell_angle_beta 130.62
_cell_angle_gamma 90.00
_space_group_name_H-M_alt 'C 1 2/c 1'
_space_group_IT_number 15
_space_group_name_Hall '-C 2yc'
loop_
_atom_site_label
_atom_site_type_symbol
_atom_site_fract_x
_atom_site_fract_y
_atom_site_fract_z
Cs1 Cs 0.1148 0.2481 0.1141
Zn1 Zn 0.0000 0.0006 0.2500
Zn2 Zn 0.1236 0.4834 0.6234
Zn3 Zn 0.2486 0.4985 0.4987
Au1 Au 0.0000 0.5005 0.2500
Au2 Au 0.1321 0.0203 0.6321

***

[3]
# KReRu GGA-PBE optimized geometry
# Size of the total moment: 0.69 μB per formula unit
# Energy relative to the lowest polymorph listed for this composition: 21 meV per atom
# ρ: 8.27 g/cm³
# Fermi-level density of states: 1.497 states/eV per atom
# Calculated formation energy: 0.880 eV/atom
data_KReRu
_chemical_formula_sum 'K2 Re2 Ru2'
_cell_length_a 3.0266
_cell_length_b 3.0266
_cell_length_c 14.3097
_cell_angle_alpha 90.00
_cell_angle_beta 90.00
_cell_angle_gamma 90.00
_space_group_name_H-M_alt 'I 4 m m'
_space_group_IT_number 107
_space_group_name_Hall 'I 4 -2'
loop_
_atom_site_label
_atom_site_type_symbol
_atom_site_fract_x
_atom_site_fract_y
_atom_site_fract_z
K1 K 0.0000 0.0000 0.0000
Re1 Re 0.0000 0.0000 0.2903
Ru1 Ru 0.0000 0.0000 0.6992

***

[4]
# Al2ZnIr GGA-PBE optimized geometry
# Size of the total moment: 0.00 μB per formula unit
# ρ: 8.52 g/cm³
# Fermi-level density of states: 0.174 states/eV per atom
# Calculated formation energy: -0.343 eV/atom
data_Al2ZnIr
_chemical_formula_sum 'Al6 Zn3 Ir3'
_cell_length_a 2.9175
_cell_length_b 2.9175
_cell_length_c 24.7183
_cell_angle_alpha 90.00
_cell_angle_beta 90.00
_cell_angle_gamma 120.00
_space_group_name_H-M_alt 'R -3 m'
_space_group_IT_number 166
_space_group_name_Hall '-R 3 2"'
loop_
_atom_site_label
_atom_site_type_symbol
_atom_site_fract_x
_atom_site_fract_y
_atom_site_fract_z
Al1 Al 0.0000 0.0000 0.2457
Zn1 Zn 0.0000 0.0000 0.0000
Ir1 Ir 0.0000 0.0000 0.5000

***

[5]
# MoAs2 GGA-PBE optimized geometry
# Size of the total moment: 0.00 μB per formula unit
# ρ: 7.13 g/cm³
# Fermi-level density of states: 1.002 states/eV per atom
# Calculated formation energy: 0.318 eV/atom
data_MoAs2
_chemical_formula_sum 'Mo1 As2'
_cell_length_a 4.2339
_cell_length_b 4.2339
_cell_length_c 3.1952
_cell_angle_alpha 90.00
_cell_angle_beta 90.00
_cell_angle_gamma 90.00
_space_group_name_H-M_alt 'P 4/m m m'
_space_group_IT_number 123
_space_group_name_Hall '-P 4 2'
loop_
_atom_site_label
_atom_site_type_symbol
_atom_site_fract_x
_atom_site_fract_y
_atom_site_fract_z
Mo1 Mo 0.0000 0.0000 0.0000
As1 As 0.0000 0.5000 0.5000

***

[6]
# CdRu GGA-PBE optimized geometry
# Size of the total moment: 0.00 μB per formula unit
# ρ: 9.42 g/cm³
# Fermi-level density of states: 0.885 states/eV per atom
# Calculated formation energy: 0.306 eV/atom
data_CdRu
_chemical_formula_sum 'Cd6 Ru6'
_cell_length_a 8.0885
_cell_length_b 8.0885
_cell_length_c 3.9843
_cell_angle_alpha 90.00
_cell_angle_beta 90.00
_cell_angle_gamma 120.00
_space_group_name_H-M_alt 'P 63/m m c'
_space_group_IT_number 194
_space_group_name_Hall '-P 6c 2c'
loop_
_atom_site_label
_atom_site_type_symbol
_atom_site_fract_x
_atom_site_fract_y
_atom_site_fract_z
Cd1 Cd 0.1655 0.3310 0.2500
Ru1 Ru 0.1211 0.5606 0.7500

***

[7]
# Al8Cu2Re GGA-PBE optimized geometry
# Size of the total moment: 0.00 μB per formula unit
# Energy relative to the lowest polymorph listed for this composition: 0 meV per atom
# ρ: 5.32 g/cm³
# Fermi-level density of states: 0.347 states/eV per atom
# Calculated formation energy: -0.121 eV/atom
data_Al8Cu2Re
_chemical_formula_sum 'Al16 Cu4 Re2'
_cell_length_a 4.1841
_cell_length_b 6.4716
_cell_length_c 12.2012
_cell_angle_alpha 90.00
_cell_angle_beta 90.00
_cell_angle_gamma 90.00
_space_group_name_H-M_alt 'I m m m'
_space_group_IT_number 71
_space_group_name_Hall '-I 2 2'
loop_
_atom_site_label
_atom_site_type_symbol
_atom_site_fract_x
_atom_site_fract_y
_atom_site_fract_z
Al1 Al 0.0000 0.0000 0.1495
Al2 Al 0.0000 0.2240 0.3387
Al3 Al 0.0000 0.2940 0.0000
Cu1 Cu 0.0000 0.5000 0.1798
Re1 Re 0.0000 0.5000 0.5000

***

[8]
# EuSnPb2 GGA-PBE optimized geometry
# Size of the total moment: 7.54 μB per formula unit
# Energy relative to the lowest polymorph listed for this composition: 208 meV per atom
# ρ: 9.14 g/cm³
# Fermi-level density of states: 0.827 states/eV per atom
# Calculated formation energy: -0.204 eV/atom
data_EuSnPb2
_chemical_formula_sum 'Eu4 Sn4 Pb8'
_cell_length_a 7.9242
_cell_length_b 7.9242
_cell_length_c 7.9242
_cell_angle_alpha 90.00
_cell_angle_beta 90.00
_cell_angle_gamma 90.00
_space_group_name_H-M_alt 'F m -3 m'
_space_group_IT_number 225
_space_group_name_Hall '-F 4 2 3'
loop_
_atom_site_label
_atom_site_type_symbol
_atom_site_fract_x
_atom_site_fract_y
_atom_site_fract_z
Eu1 Eu 0.0000 0.0000 0.0000
Sn1 Sn 0.0000 0.0000 0.5000
Pb1 Pb 0.2500 0.2500 0.2500

***

[9]
# GaGeTeO6 GGA-PBE optimized geometry
# Size of the total moment: 0.00 μB per formula unit
# E_form (uncorrected): -1.1926 eV per atom
# ρ: 6.18 g/cm³
# Fermi-level density of states: 0.362 states/eV per atom
data_GaGeTeO6
_chemical_formula_sum 'Ga2 Ge2 Te2 O12'
_cell_length_a 5.1050
_cell_length_b 5.1050
_cell_length_c 8.7130
_cell_angle_alpha 90.00
_cell_angle_beta 90.00
_cell_angle_gamma 120.00
_space_group_name_H-M_alt 'P -3 1 c'
_space_group_IT_number 163
_space_group_name_Hall '-P 3 2c'
loop_
_atom_site_label
_atom_site_type_symbol
_atom_site_fract_x
_atom_site_fract_y
_atom_site_fract_z
Ga1 Ga 0.3333 0.6667 0.2500
Ge1 Ge 0.0000 0.0000 0.0000
Te1 Te 0.3333 0.6667 0.7500
O1 O 0.0046 0.3299 0.1243

***

[10]
# TlCu GGA-PBE optimized geometry
# Size of the total moment: 0.00 μB per formula unit
# ρ: 10.87 g/cm³
# Fermi-level density of states: 0.346 states/eV per atom
# Calculated formation energy: 0.391 eV/atom
data_TlCu
_chemical_formula_sum 'Tl4 Cu4'
_cell_length_a 3.9750
_cell_length_b 3.9750
_cell_length_c 10.3614
_cell_angle_alpha 90.00
_cell_angle_beta 90.00
_cell_angle_gamma 90.00
_space_group_name_H-M_alt 'I 41/a m d'
_space_group_IT_number 141
loop_
_space_group_symop_operation_xyz
'x,y,z'
'-x,-y,-z'
'-y+1/4,x+3/4,z+1/4'
'y+1/4,-x+3/4,-z+1/4'
'-x+1/2,-y,z+1/2'
'x+1/2,y,-z+1/2'
'y+1/4,-x+1/4,z+3/4'
'-y+1/4,x+1/4,-z+3/4'
'x,-y,-z'
'-x,y,z'
'-y+1/4,-x+1/4,-z+3/4'
'y+1/4,x+1/4,z+3/4'
'-x+1/2,y,-z+1/2'
'x+1/2,-y,z+1/2'
'y+1/4,x+3/4,-z+1/4'
'-y+1/4,-x+3/4,z+1/4'
'x+1/2,y+1/2,z+1/2'
'-x+1/2,-y+1/2,-z+1/2'
'-y+3/4,x+1/4,z+3/4'
'y+3/4,-x+1/4,-z+3/4'
'-x,-y+1/2,z'
'x,y+1/2,-z'
'y+3/4,-x+3/4,z+1/4'
'-y+3/4,x+3/4,-z+1/4'
'x+1/2,-y+1/2,-z+1/2'
'-x+1/2,y+1/2,z+1/2'
'-y+3/4,-x+3/4,-z+1/4'
'y+3/4,x+3/4,z+1/4'
'-x,y+1/2,-z'
'x,-y+1/2,z'
'y+3/4,x+1/4,-z+3/4'
'-y+3/4,-x+1/4,z+3/4'
loop_
_atom_site_label
_atom_site_type_symbol
_atom_site_fract_x
_atom_site_fract_y
_atom_site_fract_z
Tl1 Tl 0.0000 0.2500 0.3750
Cu1 Cu 0.0000 0.2500 0.8750